<i>
Here is a relaxed structure of CdTc2Br from the Alexandria database. Energies are from GGA-PBE.

## Properties
Mass density ... 7.15 Mg/m³

Cell and atoms, written as extended XYZ:
```
4
Lattice="-2.2519 -2.3403 3.6281 3.0481 0.1885 2.0135 -2.0400 4.4023 1.5735" Properties=species:S:1:pos:R:3 pbc="T T T"
Tc -1.6459 3.9754 1.5427
Tc 0.1100 2.7223 1.8243
Br -0.8739 -0.0224 2.7108
Cd -0.3699 2.2729 4.5043
```

***

<ii>
Here is a relaxed structure of CdTc2Br from the Alexandria database. Energies are from GGA-PBE.

## Properties
Mass density ... 9.63 Mg/m³

Cell and atoms, written as extended XYZ:
```
4
Lattice="-1.3206 -2.8101 0.1413 2.7654 -1.3251 -0.5069 1.1559 -0.1998 6.8289" Properties=species:S:1:pos:R:3 pbc="T T T"
Tc 0.0340 -0.0059 0.2006
Tc 0.5440 -0.0940 3.2139
Br 1.0114 -2.1175 1.5244
Cd 1.5894 -2.2174 4.9389
```

***

<iii>
Here is a relaxed structure of CdTc2Br from the Alexandria database. Energies are from GGA-PBE.

## Properties
Mass density ... 8.61 Mg/m³

Cell and atoms, written as extended XYZ:
```
8
Lattice="-0.5109 6.8082 -2.5694 -6.9180 0.3445 2.2884 -2.8431 4.5789 2.3428" Properties=species:S:1:pos:R:3 pbc="T T T"
Tc -1.8638 5.0295 -0.5781
Tc -5.1294 2.6245 1.5387
Tc -5.3383 6.1373 1.7907
Tc -8.2125 9.6718 1.3722
Br -3.7144 3.5763 -0.1405
Br -6.7378 4.2499 2.2453
Cd 0.0000 0.0000 0.0000
Cd -3.5342 7.4817 -0.1836
```

***

<iv>
Here is a relaxed structure of CdTc2Br from the Alexandria database. Energies are from GGA-PBE.

## Properties
Mass density ... 8.35 Mg/m³

Cell and atoms, written as extended XYZ:
```
4
Lattice="-1.6430 1.6618 1.7202 1.1669 -2.4133 1.1112 8.4575 5.4048 2.8567" Properties=species:S:1:pos:R:3 pbc="T T T"
Tc 0.2856 0.1825 0.0965
Tc 1.6786 0.8491 2.0631
Br 3.8285 2.4466 1.2931
Cd 6.4175 3.8775 3.6637
```

***

Most stable: <iv>

***

<i>
Here is a relaxed structure of CdTcBr from the Alexandria database. Energies are from GGA-PBE.

## Properties
Mass density ... 8.10 Mg/m³

Cell and atoms, written as extended XYZ:
```
3
Lattice="4.6119 0.0000 0.0000 -2.3060 3.9941 0.0000 0.0000 0.0000 3.2321" Properties=species:S:1:pos:R:3 pbc="T T T"
Tc 0.0000 2.6627 2.6933
Br 0.0000 0.0000 2.6943
Cd 2.3060 1.3314 1.0767
```

***

<ii>
Here is a relaxed structure of CdTcBr from the Alexandria database. Energies are from GGA-PBE.

## Properties
Mass density ... 7.24 Mg/m³

Cell and atoms, written as extended XYZ:
```
3
Lattice="8.4120 0.1269 -0.0750 7.4656 3.1266 -0.0815 0.9465 -1.4515 2.6252" Properties=species:S:1:pos:R:3 pbc="T T T"
Tc 10.7683 1.6435 0.7954
Br 1.4561 -1.2909 2.5303
Cd 5.5462 -0.0020 1.7683
```

***

<iii>
Here is a relaxed structure of CdTcBr from the Alexandria database. Energies are from GGA-PBE.

## Properties
Mass density ... 7.73 Mg/m³

Cell and atoms, written as extended XYZ:
```
3
Lattice="-3.7271 2.7472 -4.9425 -4.2826 -1.6319 -4.9862 2.3053 -0.3560 6.3581" Properties=species:S:1:pos:R:3 pbc="T T T"
Tc -5.2456 0.7304 -6.5024
Br -0.3347 0.0466 -0.4148
Cd -2.4294 0.3383 -3.0114
```

***

<iv>
Here is a relaxed structure of CdTcBr from the Alexandria database. Energies are from GGA-PBE.

## Properties
Mass density ... 7.72 Mg/m³

Cell and atoms, written as extended XYZ:
```
3
Lattice="-1.9062 -2.4957 -0.3026 1.2953 1.3151 -2.5586 5.7008 -4.4282 0.6099" Properties=species:S:1:pos:R:3 pbc="T T T"
Tc 4.1548 -3.0053 -1.3865
Br 5.3146 -4.1282 0.5686
Cd 1.3212 -2.9035 -0.8235
```

***

Most stable: <iv>

***

<i>
Here is a relaxed structure of CdTc3Br from the Alexandria database. Energies are from GGA-PBE.

## Properties
Mass density ... 8.39 Mg/m³

Cell and atoms, written as extended XYZ:
```
5
Lattice="-0.3078 2.7634 -3.6433 3.0417 -2.6028 -2.2312 -3.4144 -2.5679 -1.6592" Properties=species:S:1:pos:R:3 pbc="T T T"
Tc 1.5209 -1.3014 -1.1156
Tc -1.7072 -1.2839 -0.8296
Tc -0.1539 1.3817 -1.8217
Br 0.0000 0.0000 0.0000
Cd -0.3402 -1.2036 -3.7669
```

***

<ii>
Here is a relaxed structure of CdTc3Br from the Alexandria database. Energies are from GGA-PBE.

## Properties
Mass density ... 5.75 Mg/m³

Cell and atoms, written as extended XYZ:
```
5
Lattice="-1.5951 -1.3632 4.7551 -2.4613 -4.1151 -2.0054 4.2909 -2.8673 0.6174" Properties=species:S:1:pos:R:3 pbc="T T T"
Tc -1.2306 -2.0576 -1.0027
Tc 2.1454 -1.4336 0.3087
Tc -0.7976 -0.6816 2.3775
Br 0.1172 -4.1728 1.6835
Cd 0.0000 0.0000 0.0000
```

***

Most stable: <i>

***

<i>
Here is a relaxed structure of Cd3TcBr from the Alexandria database. Energies are from GGA-PBE.

## Properties
Mass density ... 5.15 Mg/m³

Cell and atoms, written as extended XYZ:
```
5
Lattice="-5.0958 2.0304 -0.3332 -0.7424 -2.6445 -4.7598 -1.9189 -4.3686 2.7264" Properties=species:S:1:pos:R:3 pbc="T T T"
Tc -3.8786 -2.4913 -1.1833
Br 0.0000 0.0000 0.0000
Cd -0.3712 -1.3222 -2.3799
Cd -0.9595 -2.1843 1.3632
Cd -2.5479 1.0152 -0.1666
```

***

<ii>
Here is a relaxed structure of Cd3TcBr from the Alexandria database. Energies are from GGA-PBE.

## Properties
Mass density ... 5.31 Mg/m³

Cell and atoms, written as extended XYZ:
```
5
Lattice="-0.5583 4.4232 3.1176 2.5036 -2.5674 4.0910 4.7976 1.8545 -1.7720" Properties=species:S:1:pos:R:3 pbc="T T T"
Tc 0.0000 0.0000 0.0000
Br 3.3714 1.8552 2.7183
Cd 1.2518 -1.2837 2.0455
Cd 2.3988 0.9273 -0.8860
Cd -0.2792 2.2116 1.5588
```

***

Most stable: <ii>

***

<i>
Here is a relaxed structure of CdTeBr2 from the Alexandria database. Energies are from GGA-PBE.

## Properties
Mass density ... 5.06 Mg/m³

Cell and atoms, written as extended XYZ:
```
4
Lattice="-5.5394 -5.2273 -2.5746 -0.9143 -4.8583 -6.3403 4.1800 2.8496 6.2487" Properties=species:S:1:pos:R:3 pbc="T T T"
Te -2.0485 -3.3280 -0.0539
Br -6.3973 -9.9976 -8.8371
Br 0.0830 -3.4265 -2.1868
Cd -3.5913 -5.6124 -4.9610
```

***

<ii>
Here is a relaxed structure of CdTeBr2 from the Alexandria database. Energies are from GGA-PBE.

## Properties
Mass density ... 6.09 Mg/m³

Cell and atoms, written as extended XYZ:
```
4
Lattice="5.7711 -0.0112 0.0000 1.7146 5.5105 0.0000 -3.7428 -2.7497 3.4258" Properties=species:S:1:pos:R:3 pbc="T T T"
Te 2.8856 -0.0056 1.7129
Br 0.0000 0.0000 0.0000
Br 3.7428 2.7497 0.0000
Cd 0.8573 2.7553 1.7129
```

***

<iii>
Here is a relaxed structure of CdTeBr2 from the Alexandria database. Energies are from GGA-PBE.

## Properties
Mass density ... 5.79 Mg/m³

Cell and atoms, written as extended XYZ:
```
4
Lattice="-0.7433 2.1224 -3.0490 -5.5246 -3.4123 -1.0285 -2.3277 2.9737 2.6374" Properties=species:S:1:pos:R:3 pbc="T T T"
Te -3.9262 -0.2193 0.8045
Br 0.0000 0.0000 0.0000
Br -3.1339 -0.6450 -2.0388
Cd -1.5355 2.5480 -0.2058
```

***

Most stable: <i>